[1]
{"formula": "GaGePb2S", "functional": "GGA-PBE", "state": "optimized geometry", "cell": [[5.691, 0.000, 0.000], [0.000, 5.691, 0.000], [0.000, 0.000, 4.444]], "species": ["Ga", "Ge", "Pb", "Pb", "S"], "fractional_positions": [[0.000, 0.000, 0.000], [0.500, 0.500, 0.500], [0.000, 0.500, 0.000], [0.500, 0.000, 0.000], [0.000, 0.000, 0.500]], "raw_formation_energy_mev_per_atom": 458}

---

[2]
{"formula": "MgScZnNi", "functional": "GGA-PBE", "state": "optimized geometry", "cell": [[6.363, 0.000, 0.000], [0.000, 6.363, 0.000], [0.000, 0.000, 6.363]], "species": ["Mg", "Mg", "Mg", "Mg", "Sc", "Sc", "Sc", "Sc", "Zn", "Zn", "Zn", "Zn", "Ni", "Ni", "Ni", "Ni"], "fractional_positions": [[0.000, 0.000, 0.000], [0.000, 0.500, 0.500], [0.500, 0.000, 0.500], [0.500, 0.500, 0.000], [0.250, 0.250, 0.750], [0.250, 0.750, 0.250], [0.750, 0.250, 0.250], [0.750, 0.750, 0.750], [0.250, 0.250, 0.250], [0.250, 0.750, 0.750], [0.750, 0.250, 0.750], [0.750, 0.750, 0.250], [0.000, 0.000, 0.500], [0.000, 0.500, 0.000], [0.500, 0.000, 0.000], [0.500, 0.500, 0.500]], "delta_e_f_ev_per_atom": -0.180}

---

[3]
{"formula": "LaCdFe3", "functional": "GGA-PBE", "state": "optimized geometry", "cell": [[4.871, 0.000, 0.000], [0.000, 4.871, 0.000], [0.000, 0.000, 4.871]], "species": ["La", "Cd", "Fe", "Fe", "Fe"], "fractional_positions": [[0.000, 0.000, 0.000], [0.500, 0.500, 0.500], [0.000, 0.500, 0.500], [0.500, 0.000, 0.500], [0.500, 0.500, 0.000]], "relative_energy_kj_per_mol_fu": 0.0, "delta_e_f_ev_per_atom": 1.047}

---

[4]
{"formula": "ReTc", "functional": "GGA-PBE", "state": "optimized geometry", "cell": [[4.275, 0.000, 0.000], [-2.137, 3.702, 0.000], [0.000, 0.000, 7.982]], "species": ["Re", "Re", "Re", "Re", "Tc", "Tc", "Tc", "Tc"], "fractional_positions": [[0.333, 0.667, 0.075], [0.333, 0.667, 0.425], [0.667, 0.333, 0.575], [0.667, 0.333, 0.925], [0.000, 0.000, 0.250], [0.000, 0.000, 0.750], [0.333, 0.667, 0.750], [0.667, 0.333, 0.250]], "relative_energy_kj_per_mol_fu": 87.6, "delta_e_f_ev_per_atom": 0.447}

---

[5]
{"formula": "PaTlSn2", "functional": "GGA-PBE", "state": "optimized geometry", "cell": [[7.612, 0.000, 0.000], [0.000, 7.612, 0.000], [0.000, 0.000, 7.612]], "species": ["Pa", "Pa", "Pa", "Pa", "Tl", "Tl", "Tl", "Tl", "Sn", "Sn", "Sn", "Sn", "Sn", "Sn", "Sn", "Sn"], "fractional_positions": [[0.000, 0.000, 0.000], [0.000, 0.500, 0.500], [0.500, 0.000, 0.500], [0.500, 0.500, 0.000], [0.000, 0.000, 0.500], [0.000, 0.500, 0.000], [0.500, 0.000, 0.000], [0.500, 0.500, 0.500], [0.250, 0.250, 0.250], [0.250, 0.250, 0.750], [0.250, 0.750, 0.250], [0.250, 0.750, 0.750], [0.750, 0.250, 0.250], [0.750, 0.250, 0.750], [0.750, 0.750, 0.250], [0.750, 0.750, 0.750]], "relative_energy_kj_per_mol_fu": 136.1, "delta_e_f_ev_per_atom": 0.172}

---

[6]
{"formula": "AcTeAu2", "functional": "GGA-PBE", "state": "optimized geometry", "cell": [[4.664, 0.000, 0.000], [0.000, 4.664, 0.000], [0.000, 0.000, 4.935]], "species": ["Ac", "Te", "Au", "Au"], "fractional_positions": [[0.000, 0.000, 0.000], [0.500, 0.500, 0.000], [0.000, 0.500, 0.500], [0.500, 0.000, 0.500]], "raw_formation_energy_mev_per_atom": -632, "relative_energy_kj_per_mol_fu": 22.5}

---

[7]
{"formula": "LaTePtI2", "functional": "GGA-PBE", "state": "optimized geometry", "cell": [[6.123, 0.000, 0.000], [0.000, 6.123, 0.000], [0.000, 0.000, 6.374]], "species": ["La", "Te", "Pt", "I", "I"], "fractional_positions": [[0.000, 0.000, 0.000], [0.000, 0.000, 0.500], [0.500, 0.500, 0.500], [0.000, 0.500, 0.000], [0.500, 0.000, 0.000]], "raw_formation_energy_mev_per_atom": 154, "relative_energy_kj_per_mol_fu": 301.8}

---

[8]
{"formula": "SiNi6P", "functional": "GGA-PBE", "state": "optimized geometry", "cell": [[3.974, 0.000, 0.000], [1.257, 3.985, 0.000], [1.430, 0.209, 5.734]], "species": ["Si", "Ni", "Ni", "Ni", "Ni", "Ni", "Ni", "P"], "fractional_positions": [[0.000, 0.000, 0.000], [0.034, 0.728, 0.350], [0.314, 0.421, 0.901], [0.437, 0.113, 0.291], [0.563, 0.887, 0.709], [0.686, 0.579, 0.099], [0.966, 0.272, 0.650], [0.500, 0.500, 0.500]], "raw_formation_energy_mev_per_atom": -294}

---

[9]
{"formula": "TlCrTe2", "functional": "GGA-PBE", "state": "optimized geometry", "cell": [[3.633, 0.000, 0.000], [0.000, 3.633, 0.000], [0.000, 0.000, 9.601]], "species": ["Tl", "Cr", "Te", "Te"], "fractional_positions": [[0.000, 0.000, 0.000], [0.500, 0.500, 0.327], [0.000, 0.000, 0.422], [0.500, 0.500, 0.779]], "raw_formation_energy_mev_per_atom": 146}

---

[10]
{"formula": "SmZr2Hg", "functional": "GGA-PBE", "state": "optimized geometry", "cell": [[4.579, 0.000, 0.000], [0.000, 4.579, 0.000], [0.000, 0.000, 4.585]], "species": ["Sm", "Zr", "Zr", "Hg"], "fractional_positions": [[0.000, 0.000, 0.000], [0.000, 0.500, 0.500], [0.500, 0.000, 0.500], [0.500, 0.500, 0.000]], "relative_energy_kj_per_mol_fu": 0.0, "delta_e_f_ev_per_atom": -0.035}

---

[11]
{"formula": "CdSe3", "functional": "GGA-PBE", "state": "optimized geometry", "cell": [[4.965, 0.000, 0.000], [0.000, 4.965, 0.000], [0.000, 0.000, 3.502]], "species": ["Cd", "Se", "Se", "Se"], "fractional_positions": [[0.000, 0.000, 0.000], [0.000, 0.500, 0.500], [0.500, 0.000, 0.500], [0.500, 0.500, 0.000]], "raw_formation_energy_mev_per_atom": 277}

---

[12]
{"formula": "La2GaHRu", "functional": "GGA-PBE", "state": "optimized geometry", "cell": [[5.209, 0.000, 0.000], [0.000, 5.209, 0.000], [0.000, 0.000, 3.756]], "species": ["La", "La", "Ga", "H", "Ru"], "fractional_positions": [[0.000, 0.500, 0.000], [0.500, 0.000, 0.000], [0.000, 0.000, 0.500], [0.500, 0.500, 0.000], [0.500, 0.500, 0.500]], "relative_energy_kj_per_mol_fu": 40.9}

---

[13]
{"formula": "Pm3Ni7Rh2", "functional": "GGA-PBE", "state": "optimized geometry", "cell": [[2.544, 1.469, 8.414], [-2.544, 1.469, 8.414], [0.000, -2.937, 8.414]], "species": ["Pm", "Pm", "Pm", "Ni", "Ni", "Ni", "Ni", "Ni", "Ni", "Ni", "Rh", "Rh"], "fractional_positions": [[0.000, 0.000, 0.000], [0.139, 0.139, 0.139], [0.861, 0.861, 0.861], [0.085, 0.583, 0.583], [0.417, 0.417, 0.915], [0.417, 0.915, 0.417], [0.500, 0.500, 0.500], [0.583, 0.085, 0.583], [0.583, 0.583, 0.085], [0.915, 0.417, 0.417], [0.332, 0.332, 0.332], [0.668, 0.668, 0.668]], "delta_e_f_ev_per_atom": -0.350}

---

[14]
{"formula": "LiSc3In", "functional": "GGA-PBE", "state": "optimized geometry", "cell": [[5.456, 0.000, 0.000], [0.000, 5.456, 0.000], [0.000, 0.000, 5.456]], "species": ["Li", "Sc", "Sc", "Sc", "In"], "fractional_positions": [[0.000, 0.000, 0.000], [0.000, 0.500, 0.500], [0.500, 0.000, 0.500], [0.500, 0.500, 0.000], [0.500, 0.500, 0.500]], "relative_energy_kj_per_mol_fu": 85.6, "delta_e_f_ev_per_atom": 0.528}

---

[15]
{"formula": "Ac2CoN", "functional": "GGA-PBE", "state": "optimized geometry", "cell": [[3.445, 0.000, 0.000], [0.000, 3.445, 0.000], [0.000, 0.000, 7.093]], "species": ["Ac", "Ac", "Co", "N"], "fractional_positions": [[0.000, 0.000, 0.226], [0.000, 0.000, 0.774], [0.500, 0.500, 0.500], [0.500, 0.500, 0.000]], "raw_formation_energy_mev_per_atom": -18, "relative_energy_kj_per_mol_fu": 0.0}

---

[16]
{"formula": "Li2InIr", "functional": "GGA-PBE", "state": "optimized geometry", "cell": [[4.449, 0.000, 0.000], [0.000, 4.449, 0.000], [0.000, 0.000, 6.375]], "species": ["Li", "Li", "Li", "Li", "In", "In", "Ir", "Ir"], "fractional_positions": [[0.000, 0.000, 0.000], [0.000, 0.500, 0.250], [0.500, 0.000, 0.750], [0.500, 0.500, 0.500], [0.000, 0.000, 0.500], [0.500, 0.500, 0.000], [0.000, 0.500, 0.750], [0.500, 0.000, 0.250]], "delta_e_f_ev_per_atom": -0.268}

---

[17]
{"formula": "Zr3ZnBi", "functional": "GGA-PBE", "state": "optimized geometry", "cell": [[3.957, 0.000, 0.000], [-0.177, 7.595, 0.000], [-1.917, -3.064, 7.562]], "species": ["Zr", "Zr", "Zr", "Zr", "Zr", "Zr", "Zn", "Zn", "Bi", "Bi"], "fractional_positions": [[0.000, 0.000, 0.000], [0.000, 0.000, 0.500], [0.101, 0.502, 0.204], [0.383, 0.794, 0.715], [0.617, 0.206, 0.285], [0.899, 0.498, 0.796], [0.252, 0.388, 0.524], [0.748, 0.612, 0.476], [0.451, 0.244, 0.897], [0.549, 0.756, 0.103]], "relative_energy_kj_per_mol_fu": 0.0, "delta_e_f_ev_per_atom": -0.106}

---

[18]
{"formula": "KHfGaS4", "functional": "GGA-PBE", "state": "optimized geometry", "cell": [[6.323, 0.000, 0.000], [0.000, 6.773, 0.000], [-0.376, 0.000, 8.231]], "species": ["K", "K", "Hf", "Hf", "Ga", "Ga", "S", "S", "S", "S", "S", "S", "S", "S"], "fractional_positions": [[0.232, 0.250, 0.068], [0.768, 0.750, 0.932], [0.177, 0.750, 0.456], [0.823, 0.250, 0.544], [0.341, 0.250, 0.652], [0.659, 0.750, 0.348], [0.089, 0.002, 0.687], [0.089, 0.498, 0.687], [0.364, 0.750, 0.186], [0.465, 0.250, 0.403], [0.535, 0.750, 0.597], [0.636, 0.250, 0.814], [0.911, 0.502, 0.313], [0.911, 0.998, 0.313]], "raw_formation_energy_mev_per_atom": -1183}

---

[19]
{"formula": "Na4Hg5", "functional": "GGA-PBE", "state": "optimized geometry", "cell": [[9.268, 0.000, 0.000], [-4.634, 8.027, 0.000], [0.000, 0.000, 6.374]], "species": ["Na", "Na", "Na", "Na", "Na", "Na", "Na", "Na", "Hg", "Hg", "Hg", "Hg", "Hg", "Hg", "Hg", "Hg", "Hg", "Hg"], "fractional_positions": [[0.000, 0.000, 0.000], [0.000, 0.000, 0.500], [0.000, 0.367, 0.250], [0.000, 0.633, 0.750], [0.367, 0.000, 0.250], [0.367, 0.367, 0.750], [0.633, 0.000, 0.750], [0.633, 0.633, 0.250], [0.000, 0.302, 0.750], [0.000, 0.698, 0.250], [0.302, 0.000, 0.750], [0.302, 0.302, 0.250], [0.333, 0.667, 0.000], [0.333, 0.667, 0.500], [0.667, 0.333, 0.000], [0.667, 0.333, 0.500], [0.698, 0.000, 0.250], [0.698, 0.698, 0.750]], "relative_energy_kj_per_mol_fu": 27.8, "delta_e_f_ev_per_atom": -0.201}

---

[20]
{"formula": "Tb4Pm2DyMg", "functional": "GGA-PBE", "state": "optimized geometry", "cell": [[4.977, 0.000, 0.000], [0.000, 4.992, 0.000], [0.000, 0.000, 10.135]], "species": ["Tb", "Tb", "Tb", "Tb", "Pm", "Pm", "Dy", "Mg"], "fractional_positions": [[0.000, 0.000, 0.249], [0.000, 0.000, 0.751], [0.500, 0.500, 0.249], [0.500, 0.500, 0.751], [0.000, 0.500, 0.000], [0.500, 0.000, 0.500], [0.000, 0.500, 0.500], [0.500, 0.000, 0.000]], "delta_e_f_ev_per_atom": 0.023}

---

[21]
{"formula": "Pt3Au", "functional": "GGA-PBE", "state": "optimized geometry", "cell": [[4.873, 0.000, 0.000], [0.000, 9.359, 0.000], [0.000, 0.000, 5.711]], "species": ["Pt", "Pt", "Pt", "Pt", "Pt", "Pt", "Pt", "Pt", "Pt", "Pt", "Pt", "Pt", "Au", "Au", "Au", "Au"], "fractional_positions": [[0.092, 0.250, 0.133], [0.245, 0.503, 0.876], [0.245, 0.997, 0.876], [0.255, 0.003, 0.376], [0.255, 0.497, 0.376], [0.408, 0.750, 0.633], [0.592, 0.250, 0.367], [0.745, 0.503, 0.624], [0.745, 0.997, 0.624], [0.755, 0.003, 0.124], [0.755, 0.497, 0.124], [0.908, 0.750, 0.867], [0.084, 0.250, 0.628], [0.416, 0.750, 0.128], [0.584, 0.250, 0.872], [0.916, 0.750, 0.372]], "delta_e_f_ev_per_atom": 0.073}

---

[22]
{"formula": "GeB3Te", "functional": "GGA-PBE", "state": "optimized geometry", "cell": [[4.434, 0.000, 0.000], [0.000, 4.434, 0.000], [0.000, 0.000, 4.434]], "species": ["Ge", "B", "B", "B", "Te"], "fractional_positions": [[0.000, 0.000, 0.000], [0.000, 0.500, 0.500], [0.500, 0.000, 0.500], [0.500, 0.500, 0.000], [0.500, 0.500, 0.500]], "raw_formation_energy_mev_per_atom": 2223, "relative_energy_kj_per_mol_fu": 254.2}

---

[23]
{"formula": "Ac3Ho3PuSe8", "functional": "GGA-PBE", "state": "optimized geometry", "cell": [[4.183, 2.415, 7.126], [-4.183, 2.415, 7.126], [0.000, -4.831, 7.126]], "species": ["Ac", "Ac", "Ac", "Ho", "Ho", "Ho", "Pu", "Se", "Se", "Se", "Se", "Se", "Se", "Se", "Se"], "fractional_positions": [[0.000, 0.500, 0.500], [0.500, 0.000, 0.500], [0.500, 0.500, 0.000], [0.000, 0.000, 0.500], [0.000, 0.500, 0.000], [0.500, 0.000, 0.000], [0.500, 0.500, 0.500], [0.231, 0.749, 0.749], [0.240, 0.240, 0.240], [0.251, 0.251, 0.769], [0.251, 0.769, 0.251], [0.749, 0.231, 0.749], [0.749, 0.749, 0.231], [0.760, 0.760, 0.760], [0.769, 0.251, 0.251]], "raw_formation_energy_mev_per_atom": -1800}

---

[24]
{"formula": "Ce2Sm3ThP6", "functional": "GGA-PBE", "state": "optimized geometry", "cell": [[3.560, -6.169, 0.000], [3.560, 6.169, 0.000], [-2.373, 0.000, 6.702]], "species": ["Ce", "Ce", "Sm", "Sm", "Sm", "Th", "P", "P", "P", "P", "P", "P"], "fractional_positions": [[0.167, 0.833, 0.000], [0.833, 0.167, 0.000], [0.000, 0.000, 0.500], [0.333, 0.667, 0.500], [0.667, 0.333, 0.500], [0.500, 0.500, 0.000], [0.083, 0.417, 0.752], [0.248, 0.248, 0.248], [0.417, 0.083, 0.752], [0.583, 0.917, 0.248], [0.752, 0.752, 0.752], [0.917, 0.583, 0.248]], "delta_e_f_ev_per_atom": -1.563}

---

[25]
{"formula": "K2TlCuI4", "functional": "GGA-PBE", "state": "optimized geometry", "cell": [[2.329, -8.051, 0.000], [2.329, 8.051, 0.000], [0.000, 0.000, 17.830]], "species": ["K", "K", "K", "K", "Tl", "Tl", "Cu", "Cu", "I", "I", "I", "I", "I", "I", "I", "I"], "fractional_positions": [[0.137, 0.863, 0.559], [0.137, 0.863, 0.941], [0.863, 0.137, 0.059], [0.863, 0.137, 0.441], [0.389, 0.611, 0.750], [0.611, 0.389, 0.250], [0.325, 0.675, 0.250], [0.675, 0.325, 0.750], [0.087, 0.913, 0.750], [0.219, 0.781, 0.134], [0.219, 0.781, 0.366], [0.500, 0.500, 0.000], [0.500, 0.500, 0.500], [0.781, 0.219, 0.634], [0.781, 0.219, 0.866], [0.913, 0.087, 0.250]], "raw_formation_energy_mev_per_atom": -897}